(1)
SbTe2RuW: optimized geometry, PBE.

Cell: 5.228 5.228 4.912 Å, 90.00 90.00 90.00°
Positions (direct):
Sb 0.000 0.000 0.000
Te 0.000 0.500 0.500
Te 0.500 0.000 0.500
Ru 0.000 0.000 0.500
W 0.500 0.500 0.000

- space group = P4/mmm
- total magnetic moment (μB per atom) = 0.543
- ΔE to the lowest computed polymorph (meV/atom) = 0
- formation energy (no corrections) (kJ per mole of atoms) = 129
- ρ (g/cm³) = 8.19

(2)
YSbTe2Ru: optimized geometry, PBE.

Cell: 5.437 5.437 4.863 Å, 90.00 90.00 90.00°
Positions (direct):
Y 0.000 0.000 0.000
Sb 0.500 0.500 0.000
Te 0.000 0.500 0.500
Te 0.500 0.000 0.500
Ru 0.500 0.500 0.500

- space group = P4/mmm
- total magnetic moment (μB per atom) = 0.000
- ΔE to the lowest computed polymorph (meV/atom) = 0
- formation energy (no corrections) (kJ per mole of atoms) = -1
- ρ (g/cm³) = 6.55

(3)
YSbTeRu2: optimized geometry, PBE.

Cell: 4.852 4.852 5.741 Å, 90.00 90.00 90.00°
Positions (direct):
Y 0.000 0.000 0.000
Sb 0.000 0.000 0.500
Te 0.500 0.500 0.000
Ru 0.000 0.500 0.500
Ru 0.500 0.000 0.500

- space group = P4/mmm
- total magnetic moment (μB per atom) = 0.339
- formation energy (no corrections) (kJ per mole of atoms) = 67
- ρ (g/cm³) = 6.64

(4)
YSbTe2Ru: optimized geometry, PBE.

Cell: 5.750 5.750 5.791 Å, 90.00 90.00 90.00°
Positions (direct):
Y 0.000 0.000 0.000
Sb 0.000 0.000 0.500
Te 0.000 0.500 0.000
Te 0.500 0.000 0.000
Ru 0.500 0.500 0.500

- space group = P4/mmm
- total magnetic moment (μB per atom) = 0.487
- ΔE to the lowest computed polymorph (meV/atom) = 908
- formation energy (no corrections) (kJ per mole of atoms) = 86
- ρ (g/cm³) = 4.92

(5)
ZnSb2TeRu: optimized geometry, PBE.

Cell: 5.075 5.075 5.238 Å, 90.00 90.00 90.00°
Positions (direct):
Zn 0.000 0.000 0.000
Sb 0.000 0.500 0.000
Sb 0.500 0.000 0.000
Te 0.000 0.000 0.500
Ru 0.500 0.500 0.500

- space group = P4/mmm
- total magnetic moment (μB per atom) = 0.338
- ΔE to the lowest computed polymorph (meV/atom) = 701
- formation energy (no corrections) (kJ per mole of atoms) = 113
- ρ (g/cm³) = 6.62

(6)
ZnSb2TeRu: optimized geometry, PBE.

Cell: 4.986 4.986 5.756 Å, 90.00 90.00 90.00°
Positions (direct):
Zn 0.000 0.000 0.000
Sb 0.000 0.500 0.500
Sb 0.500 0.000 0.500
Te 0.500 0.500 0.000
Ru 0.500 0.500 0.500

- space group = P4/mmm
- total magnetic moment (μB per atom) = 0.000
- ΔE to the lowest computed polymorph (meV/atom) = 0
- formation energy (no corrections) (kJ per mole of atoms) = 45
- ρ (g/cm³) = 6.24

(7)
ZrSbTe2Ru: optimized geometry, PBE.

Cell: 5.608 5.608 4.807 Å, 90.00 90.00 90.00°
Positions (direct):
Zr 0.000 0.000 0.000
Sb 0.500 0.500 0.500
Te 0.000 0.500 0.500
Te 0.500 0.000 0.500
Ru 0.500 0.500 0.000

- space group = P4/mmm
- total magnetic moment (μB per atom) = 0.000
- ΔE to the lowest computed polymorph (meV/atom) = 608
- formation energy (no corrections) (kJ per mole of atoms) = 106
- ρ (g/cm³) = 6.25

(8)
ZrSbTe2Ru: optimized geometry, PBE.

Cell: 5.295 5.295 4.896 Å, 90.00 90.00 90.00°
Positions (direct):
Zr 0.000 0.000 0.000
Sb 0.500 0.500 0.000
Te 0.000 0.500 0.500
Te 0.500 0.000 0.500
Ru 0.500 0.500 0.500

- space group = P4/mmm
- total magnetic moment (μB per atom) = 0.240
- ΔE to the lowest computed polymorph (meV/atom) = 0
- formation energy (no corrections) (kJ per mole of atoms) = 47
- ρ (g/cm³) = 6.89

(9)
ZrSbTe2Ru: optimized geometry, PBE.

Cell: 5.518 5.518 5.552 Å, 90.00 90.00 90.00°
Positions (direct):
Zr 0.000 0.000 0.000
Sb 0.000 0.000 0.500
Te 0.000 0.500 0.000
Te 0.500 0.000 0.000
Ru 0.500 0.500 0.500

- space group = P4/mmm
- total magnetic moment (μB per atom) = 0.600
- ΔE to the lowest computed polymorph (meV/atom) = 392
- formation energy (no corrections) (kJ per mole of atoms) = 85
- ρ (g/cm³) = 5.59

(10)
ThSb12Ru4: optimized geometry, PBE.

Cell: 8.112 8.112 8.112 Å, 109.47 109.47 109.47°
Positions (direct):
Th 0.000 0.000 0.000
Sb 0.158 0.496 0.338
Sb 0.158 0.819 0.662
Sb 0.181 0.338 0.842
Sb 0.338 0.158 0.496
Sb 0.338 0.842 0.181
Sb 0.496 0.338 0.158
Sb 0.504 0.662 0.842
Sb 0.662 0.158 0.819
Sb 0.662 0.842 0.504
Sb 0.819 0.662 0.158
Sb 0.842 0.181 0.338
Sb 0.842 0.504 0.662
Ru 0.000 0.000 0.500
Ru 0.000 0.500 0.000
Ru 0.500 0.000 0.000
Ru 0.500 0.500 0.500

- space group = Im-3
- total magnetic moment (μB per atom) = 0.000
- formation energy (no corrections) (kJ per mole of atoms) = -32
- ρ (g/cm³) = 8.48

(11)
Th3Sb2Ru: optimized geometry, PBE.

Cell: 7.740 7.740 7.740 Å, 148.43 131.75 58.80°
Positions (direct):
Th 0.000 0.000 0.000
Th 0.362 0.362 0.000
Th 0.638 0.638 0.000
Sb 0.179 0.679 0.500
Sb 0.821 0.321 0.500
Ru 0.500 0.000 0.500

- space group = Immm
- total magnetic moment (μB per atom) = 0.000
- ΔE to the lowest computed polymorph (meV/atom) = 25
- formation energy (no corrections) (kJ per mole of atoms) = -68
- ρ (g/cm³) = 9.62

(12)
Th4SbRu: optimized geometry, PBE.

Cell: 7.422 7.422 6.201 Å, 90.00 90.00 90.00°
Positions (direct):
Th 0.145 0.320 0.000
Th 0.145 0.680 0.500
Th 0.320 0.145 0.500
Th 0.320 0.855 0.000
Th 0.680 0.145 0.000
Th 0.680 0.855 0.500
Th 0.855 0.320 0.500
Th 0.855 0.680 0.000
Sb 0.500 0.500 0.250
Sb 0.500 0.500 0.750
Ru 0.000 0.000 0.250
Ru 0.000 0.000 0.750

- space group = P4/mcc
- total magnetic moment (μB per atom) = 0.000
- ΔE to the lowest computed polymorph (meV/atom) = 0
- formation energy (no corrections) (kJ per mole of atoms) = -45
- ρ (g/cm³) = 11.19

(13)
Th3SbRu: optimized geometry, PBE.

Cell: 8.613 4.431 15.009 Å, 90.00 90.00 90.00°
Positions (direct):
Th 0.027 0.250 0.106
Th 0.147 0.250 0.509
Th 0.188 0.750 0.279
Th 0.312 0.250 0.779
Th 0.353 0.750 0.009
Th 0.473 0.750 0.606
Th 0.527 0.250 0.394
Th 0.647 0.250 0.991
Th 0.688 0.750 0.221
Th 0.812 0.250 0.721
Th 0.853 0.750 0.491
Th 0.973 0.750 0.894
Sb 0.090 0.750 0.677
Sb 0.410 0.250 0.177
Sb 0.590 0.750 0.823
Sb 0.910 0.250 0.323
Ru 0.182 0.250 0.938
Ru 0.318 0.750 0.438
Ru 0.682 0.250 0.562
Ru 0.818 0.750 0.062

- space group = Pnma
- total magnetic moment (μB per atom) = 0.000
- ΔE to the lowest computed polymorph (meV/atom) = 0
- formation energy (no corrections) (kJ per mole of atoms) = -58
- ρ (g/cm³) = 10.66

(14)
Th4Sb6Ru7: optimized geometry, PBE.

Cell: 7.711 7.711 7.711 Å, 109.47 109.47 109.47°
Positions (direct):
Th 0.000 0.000 0.500
Th 0.000 0.500 0.000
Th 0.500 0.000 0.000
Th 0.500 0.500 0.500
Sb 0.000 0.318 0.318
Sb 0.000 0.682 0.682
Sb 0.318 0.000 0.318
Sb 0.318 0.318 0.000
Sb 0.682 0.000 0.682
Sb 0.682 0.682 0.000
Ru 0.000 0.000 0.000
Ru 0.250 0.500 0.750
Ru 0.250 0.750 0.500
Ru 0.500 0.250 0.750
Ru 0.500 0.750 0.250
Ru 0.750 0.250 0.500
Ru 0.750 0.500 0.250

- space group = Im-3m
- total magnetic moment (μB per atom) = 0.000
- formation energy (no corrections) (kJ per mole of atoms) = -60
- ρ (g/cm³) = 11.13

(15)
Th8Sb2Ru3: optimized geometry, PBE.

Cell: 8.975 8.975 7.056 Å, 104.30 104.30 53.34°
Positions (direct):
Th 0.099 0.099 0.395
Th 0.147 0.646 0.102
Th 0.354 0.853 0.898
Th 0.399 0.399 0.594
Th 0.601 0.601 0.406
Th 0.646 0.147 0.102
Th 0.853 0.354 0.898
Th 0.901 0.901 0.605
Sb 0.250 0.250 0.831
Sb 0.750 0.750 0.169
Ru 0.000 0.000 0.000
Ru 0.255 0.745 0.500
Ru 0.745 0.255 0.500

- space group = C2/m
- total magnetic moment (μB per atom) = 0.000
- formation energy (no corrections) (kJ per mole of atoms) = -32
- ρ (g/cm³) = 9.11

(16)
ThSbRu2: optimized geometry, PBE.

Cell: 4.566 4.566 3.774 Å, 90.00 90.00 90.00°
Positions (direct):
Th 0.000 0.000 0.000
Sb 0.500 0.500 0.000
Ru 0.000 0.500 0.500
Ru 0.500 0.000 0.500

- space group = P4/mmm
- total magnetic moment (μB per atom) = 0.000
- formation energy (no corrections) (kJ per mole of atoms) = -34
- ρ (g/cm³) = 11.74

(17)
Th3Sb4Ru3: optimized geometry, PBE.

Cell: 8.516 8.516 8.516 Å, 109.47 109.47 109.47°
Positions (direct):
Th 0.125 0.750 0.875
Th 0.250 0.625 0.375
Th 0.375 0.250 0.625
Th 0.625 0.375 0.250
Th 0.750 0.875 0.125
Th 0.875 0.125 0.750
Sb 0.000 0.335 0.500
Sb 0.000 0.835 0.500
Sb 0.165 0.165 0.165
Sb 0.335 0.500 0.000
Sb 0.500 0.000 0.335
Sb 0.500 0.000 0.835
Sb 0.665 0.665 0.665
Sb 0.835 0.500 0.000
Ru 0.125 0.875 0.250
Ru 0.250 0.125 0.875
Ru 0.375 0.625 0.750
Ru 0.625 0.750 0.375
Ru 0.750 0.375 0.625
Ru 0.875 0.250 0.125

- space group = I-43d
- total magnetic moment (μB per atom) = 0.000
- formation energy (no corrections) (kJ per mole of atoms) = -64
- ρ (g/cm³) = 10.38

(18)
Th3SbRu: optimized geometry, PBE.

Cell: 4.425 10.912 6.329 Å, 90.00 110.38 90.00°
Positions (direct):
Th 0.038 0.250 0.077
Th 0.350 0.046 0.700
Th 0.350 0.454 0.700
Th 0.650 0.546 0.300
Th 0.650 0.954 0.300
Th 0.962 0.750 0.923
Sb 0.251 0.750 0.502
Sb 0.749 0.250 0.498
Ru 0.000 0.000 0.000
Ru 0.000 0.500 0.000

- space group = P2_1/m
- total magnetic moment (μB per atom) = 0.000
- ΔE to the lowest computed polymorph (meV/atom) = 15
- formation energy (no corrections) (kJ per mole of atoms) = -56
- ρ (g/cm³) = 10.65

(19)
Th3Sb2Ru: optimized geometry, PBE.

Cell: 12.709 4.366 12.042 Å, 90.00 90.00 90.00°
Positions (direct):
Th 0.052 0.250 0.122
Th 0.120 0.750 0.548
Th 0.240 0.250 0.783
Th 0.260 0.750 0.283
Th 0.380 0.250 0.048
Th 0.448 0.750 0.622
Th 0.552 0.250 0.378
Th 0.620 0.750 0.952
Th 0.740 0.250 0.717
Th 0.760 0.750 0.217
Th 0.880 0.250 0.452
Th 0.948 0.750 0.878
Sb 0.002 0.750 0.303
Sb 0.190 0.750 0.994
Sb 0.310 0.250 0.494
Sb 0.498 0.250 0.803
Sb 0.502 0.750 0.197
Sb 0.690 0.750 0.506
Sb 0.810 0.250 0.006
Sb 0.998 0.250 0.697
Ru 0.124 0.250 0.368
Ru 0.376 0.750 0.868
Ru 0.624 0.250 0.132
Ru 0.876 0.750 0.632

- space group = Pnma
- total magnetic moment (μB per atom) = 0.000
- ΔE to the lowest computed polymorph (meV/atom) = 0
- formation energy (no corrections) (kJ per mole of atoms) = -71
- ρ (g/cm³) = 10.35

(20)
Th4SbRu: optimized geometry, PBE.

Cell: 7.391 7.246 7.225 Å, 90.00 93.07 90.00°
Positions (direct):
Th 0.138 0.158 0.183
Th 0.138 0.342 0.683
Th 0.333 0.630 0.119
Th 0.333 0.870 0.619
Th 0.667 0.130 0.381
Th 0.667 0.370 0.881
Th 0.862 0.658 0.317
Th 0.862 0.842 0.817
Sb 0.500 0.000 0.000
Sb 0.500 0.500 0.500
Ru 0.000 0.000 0.500
Ru 0.000 0.500 0.000

- space group = P2_1/c
- total magnetic moment (μB per atom) = 0.000
- ΔE to the lowest computed polymorph (meV/atom) = 225
- formation energy (no corrections) (kJ per mole of atoms) = -23
- ρ (g/cm³) = 9.89

(21)
Th5Sb2Ru: optimized geometry, PBE.

Cell: 6.734 6.734 6.734 Å, 110.56 110.56 107.32°
Positions (direct):
Th 0.000 0.000 0.000
Th 0.043 0.043 0.501
Th 0.043 0.542 0.000
Th 0.542 0.043 0.000
Th 0.542 0.542 0.499
Sb 0.042 0.542 0.500
Sb 0.542 0.042 0.500
Ru 0.369 0.369 0.000

- space group = I4mm
- total magnetic moment (μB per atom) = 0.000
- formation energy (no corrections) (kJ per mole of atoms) = -36
- ρ (g/cm³) = 10.64

(22)
TiSb3Ru: optimized geometry, PBE.

Cell: 5.123 5.123 5.123 Å, 90.00 90.00 90.00°
Positions (direct):
Ti 0.000 0.000 0.000
Sb 0.000 0.500 0.500
Sb 0.500 0.000 0.500
Sb 0.500 0.500 0.000
Ru 0.500 0.500 0.500

- space group = Pm-3m
- total magnetic moment (μB per atom) = 0.507
- ΔE to the lowest computed polymorph (meV/atom) = 0
- formation energy (no corrections) (kJ per mole of atoms) = 63
- ρ (g/cm³) = 6.35

(23)
TiSb2Ru: optimized geometry, PBE.

Cell: 4.725 4.725 4.725 Å, 60.00 60.00 60.00°
Positions (direct):
Ti 0.000 0.000 0.000
Sb 0.250 0.250 0.250
Sb 0.750 0.750 0.750
Ru 0.500 0.500 0.500

- space group = Fm-3m
- total magnetic moment (μB per atom) = 0.455
- formation energy (no corrections) (kJ per mole of atoms) = -6
- ρ (g/cm³) = 8.73